# 1
Computed, not measured: a relaxed structure of Li23AlZn6 at the PBE level of DFT.

abc: 9.0229 9.0229 9.0229
angles: 60.00 60.00 60.00
Element x y z (fractional)
Li1 0.0000 0.0000 0.0000
Li2 0.1233 0.1233 0.6301
Li3 0.8767 0.8767 0.3699
Li4 0.3744 0.3744 0.8769
Li5 0.8767 0.8767 0.8767
Li6 0.0000 0.5000 0.0000
Li7 0.3699 0.8767 0.8767
Li8 0.8767 0.3699 0.8767
Li9 0.0000 0.5000 0.5000
Li10 0.6256 0.1231 0.6256
Li11 0.3744 0.8769 0.3744
Li12 0.1231 0.6256 0.6256
Li13 0.6301 0.1233 0.1233
Li14 0.6256 0.6256 0.6256
Li15 0.5000 0.0000 0.5000
Li16 0.0000 0.0000 0.5000
Li17 0.1233 0.6301 0.1233
Li18 0.8769 0.3744 0.3744
Li19 0.3744 0.3744 0.3744
Li20 0.6256 0.6256 0.1231
Li21 0.1233 0.1233 0.1233
Li22 0.5000 0.5000 0.0000
Li23 0.5000 0.0000 0.0000
Al1 0.5000 0.5000 0.5000
Zn1 0.2564 0.2564 0.7436
Zn2 0.7436 0.2564 0.7436
Zn3 0.7436 0.2564 0.2564
Zn4 0.2564 0.7436 0.7436
Zn5 0.2564 0.7436 0.2564
Zn6 0.7436 0.7436 0.2564

Computed properties:
Theoretical density: 1851 kg/m3
SG: Fm-3m (225)
Energy: -56.86 eV/f.u.
M_tot: 0.00 μB/f.u.
Formation energy from the elements: -49 meV/atom



# 2
Computed, not measured: a relaxed structure of Fe2PtS at the PBE level of DFT.

abc: 4.3660 4.3660 7.6041
angles: 73.32 73.32 90.00
Element x y z (fractional)
Fe1 0.2042 0.6250 0.2500
Fe2 0.3750 0.4542 0.7500
Fe3 0.8750 0.7958 0.7500
Fe4 0.5458 0.1250 0.2500
Pt1 0.0000 0.0000 0.0000
Pt2 0.7500 0.2500 0.5000
S1 0.5000 0.5000 0.0000
S2 0.2500 0.7500 0.5000

Computed properties:
E_form (uncorrected): 0.317 eV per atom
Theoretical density: 8495 kg/m3
SG: I-42d (122)
Energy: -25.83 eV/f.u.
M_tot: 5.75 μB/f.u.



# 3
Computed, not measured: a relaxed structure of Y3HfZn at the PBE level of DFT.

abc: 5.5513 5.5513 5.5513
angles: 90.00 90.00 90.00
Element x y z (fractional)
Y1 0.5000 0.0000 0.0000
Y2 0.0000 0.5000 0.0000
Y3 0.0000 0.0000 0.5000
Hf1 0.0000 0.0000 0.0000
Zn1 0.5000 0.5000 0.5000

Computed properties:
Theoretical density: 4956 kg/m3
SG: Pm-3m (221)
Energy: -26.68 eV/f.u.
M_tot: 0.00 μB/f.u.
Formation energy from the elements: 787 meV/atom



# 4
Computed, not measured: a relaxed structure of CsAg2GeI6 at the PBE level of DFT.

abc: 8.5032 11.2539 11.2539
angles: 78.91 70.22 70.22
Element x y z (fractional)
Ag1 0.2629 0.3224 0.2365
Ag2 0.7371 0.6776 0.7635
Ag3 0.7629 0.2365 0.3224
Ag4 0.2371 0.7635 0.6776
I1 0.7631 0.7450 0.0065
I2 0.9502 0.4155 0.7002
I3 0.0814 0.1541 0.3704
I4 0.4502 0.7002 0.4155
I5 0.0498 0.5845 0.2998
I6 0.4186 0.6296 0.8459
I7 0.5498 0.2998 0.5845
I8 0.2369 0.2550 0.9935
I9 0.9186 0.8459 0.6296
I10 0.2631 0.0065 0.7450
I11 0.7369 0.9935 0.2550
I12 0.5814 0.3704 0.1541
Cs1 0.2500 0.8721 0.1279
Cs2 0.7500 0.1279 0.8721
Ge1 0.2500 0.2537 0.7463
Ge2 0.7500 0.7463 0.2537

Computed properties:
E_form (uncorrected): -0.468 eV per atom
Theoretical density: 4135 kg/m3
SG: C2/c (15)
Energy: -25.15 eV/f.u.
M_tot: 0.00 μB/f.u.



# 5
Computed, not measured: a relaxed structure of Na2TiNi at the PBE level of DFT.

abc: 4.8368 4.8368 4.8368
angles: 60.00 60.00 60.00
Element x y z (fractional)
Na1 0.2500 0.2500 0.2500
Na2 0.7500 0.7500 0.7500
Ti1 0.0000 0.0000 0.0000
Ni1 0.5000 0.5000 0.5000

Computed properties:
Theoretical density: 3166 kg/m3
SG: Fm-3m (225)
Energy: -12.42 eV/f.u.
M_tot: 2.17 μB/f.u.
Formation energy from the elements: 974 meV/atom



# 6
Computed, not measured: a relaxed structure of SmPuPaN3 at the PBE level of DFT.

abc: 3.4144 6.9897 8.6695
angles: 85.98 90.00 90.00
Element x y z (fractional)
Pu1 0.7500 0.7961 0.4511
Pu2 0.2500 0.2039 0.5489
N1 0.2500 0.6129 0.8999
N2 0.7500 0.1165 0.3972
N3 0.2500 0.1610 0.8657
N4 0.7500 0.8390 0.1343
N5 0.7500 0.3871 0.1001
N6 0.2500 0.8835 0.6028
Pa1 0.7500 0.3894 0.8484
Pa2 0.2500 0.6106 0.1516
Sm1 0.7500 0.8897 0.8379
Sm2 0.2500 0.1103 0.1621

Computed properties:
E_form (uncorrected): -1.250 eV per atom
Theoretical density: 10739 kg/m3
SG: P2_1/m (11)
Energy: -61.02 eV/f.u.
M_tot: 6.16 μB/f.u.



# 7
Computed, not measured: a relaxed structure of HoErBeAl at the PBE level of DFT.

abc: 4.9444 4.9444 4.9444
angles: 60.00 60.00 60.00
Element x y z (fractional)
Ho1 0.2500 0.2500 0.2500
Er1 0.7500 0.7500 0.7500
Al1 0.5000 0.5000 0.5000
Be1 0.0000 0.0000 0.0000

Computed properties:
Theoretical density: 7153 kg/m3
SG: F-43m (216)
Energy: -17.16 eV/f.u.
M_tot: 0.00 μB/f.u.
Formation energy from the elements: -139 meV/atom



# 8
Computed, not measured: a relaxed structure of MnNi3Ir3 at the PBE level of DFT.

abc: 9.2796 6.4757 7.6148
angles: 78.52 64.81 61.03
Element x y z (fractional)
Mn1 0.3829 0.0436 0.0528
Mn2 0.1142 0.5163 0.9410
Mn3 0.9841 0.0886 0.5887
Mn4 0.4172 0.4345 0.4482
Ni1 0.7709 0.3031 0.1635
Ni2 0.8529 0.6652 0.2394
Ni3 0.2674 0.8022 0.6648
Ni4 0.8818 0.5403 0.5492
Ni5 0.7351 0.3399 0.8385
Ni6 0.6153 0.0075 0.4463
Ni7 0.0431 0.2470 0.2402
Ni8 0.2324 0.8376 0.3386
Ni9 0.5475 0.7405 0.7365
Ni10 0.4845 0.5871 0.0896
Ni11 0.3530 0.1587 0.7398
Ni12 0.9161 0.9402 0.9419
Ir1 0.1909 0.5102 0.2267
Ir2 0.2021 0.8813 0.0056
Ir3 0.9262 0.9387 0.3496
Ir4 0.0379 0.2469 0.8209
Ir5 0.7001 0.3767 0.5090
Ir6 0.5741 0.1375 0.1298
Ir7 0.2737 0.1612 0.4519
Ir8 0.7740 0.6637 0.9566
Ir9 0.0674 0.6433 0.6276
Ir10 0.5402 0.7457 0.3215
Ir11 0.6892 0.0078 0.7305
Ir12 0.4257 0.4348 0.8512

Computed properties:
Theoretical density: 14809 kg/m3
SG: P1 (1)
Energy: -52.83 eV/f.u.
M_tot: 3.58 μB/f.u.
Formation energy from the elements: 38 meV/atom



# 9
Computed, not measured: a relaxed structure of Ho2Tm3Sn2 at the PBE level of DFT.

abc: 4.4174 6.2600 8.3562
angles: 108.37 90.00 110.66
Element x y z (fractional)
Ho1 0.8675 0.7351 0.2169
Ho2 0.1325 0.2649 0.7831
Tm1 0.6248 0.2495 0.4367
Tm2 0.5000 0.0000 0.0000
Tm3 0.3752 0.7505 0.5633
Sn1 0.8274 0.6549 0.8034
Sn2 0.1726 0.3451 0.1966

Computed properties:
Theoretical density: 8761 kg/m3
SG: C2/m (12)
Energy: -33.66 eV/f.u.
M_tot: 0.00 μB/f.u.
Formation energy from the elements: -441 meV/atom



# 10
Computed, not measured: a relaxed structure of MgIn2Te4 at the PBE level of DFT.

abc: 6.3341 6.3341 6.3903
angles: 90.00 90.00 90.00
Element x y z (fractional)
Mg1 0.0000 0.0000 0.0000
Te1 0.2711 0.7289 0.7743
Te2 0.7289 0.7289 0.2257
Te3 0.2711 0.2711 0.2257
Te4 0.7289 0.2711 0.7743
In1 0.5000 0.0000 0.5000
In2 0.0000 0.5000 0.5000

Computed properties:
E_form (uncorrected): -0.484 eV per atom
Theoretical density: 4950 kg/m3
SG: P-42m (111)
Energy: -23.03 eV/f.u.
M_tot: 0.00 μB/f.u.